! Nd6SmTl6 GGA-PBE relaxed; values from VASP
&SYSTEM
  ibrav = 0, nat = 13, ntyp = 3
/
ATOMIC_SPECIES
Nd 144.24 Nd.upf
Sm 150.36 Sm.upf
Tl 204.38 Tl.upf
CELL_PARAMETERS angstrom
6.534 0.000 0.000
-3.267 5.658 0.000
0.000 0.000 11.015
ATOMIC_POSITIONS angstrom
Nd 0.000 0.000 1.834
Nd 0.000 0.000 9.181
Nd 0.000 3.772 0.000
Nd 0.000 3.772 5.508
Nd 3.267 1.886 0.000
Nd 3.267 1.886 5.508
Sm 0.000 0.000 5.508
Tl -1.633 2.829 2.794
Tl -1.633 2.829 8.221
Tl 3.267 0.000 2.794
Tl 3.267 0.000 8.221
Tl 1.633 2.829 2.794
Tl 1.633 2.829 8.221
! **Formation enthalpy at 0 K**: -0.2242 eV per atom
! **N(E_F)**: 1.194 states/eV/atom

***

! SrInGe GGA-PBE relaxed; values from VASP
&SYSTEM
  ibrav = 0, nat = 12, ntyp = 3
/
ATOMIC_SPECIES
Sr 87.62 Sr.upf
In 114.82 In.upf
Ge 72.64 Ge.upf
CELL_PARAMETERS angstrom
5.046 0.000 0.000
0.000 8.687 0.000
0.000 0.000 7.575
ATOMIC_POSITIONS angstrom
Sr 1.261 1.674 0.000
Sr 1.261 2.670 3.787
Sr 3.784 6.017 3.787
Sr 3.784 7.014 0.000
In 1.261 5.165 1.359
In 1.261 7.866 5.146
In 3.784 0.821 5.146
In 3.784 3.522 1.359
Ge 1.261 5.029 6.068
Ge 1.261 8.002 2.281
Ge 3.784 0.685 2.281
Ge 3.784 3.659 6.068
! **Formation enthalpy at 0 K**: -0.3930 eV per atom
! **N(E_F)**: 0.295 states/eV/atom